## Na3Tl5S12 (PBE)

Data for a relaxed Na3Tl5S12 crystal.

Lattice parameters (Å, degrees): 15.991 15.991 15.991 90.00 90.00 90.00
Space group Ia-3d (No. 230)
Symmetry-distinct sites (fractional):
Na: 0.000 0.250 0.125 (multiplicity 24)
Tl: 0.000 0.000 0.000 (multiplicity 16)
Tl: 0.000 0.250 0.375 (multiplicity 24)
S: 0.021 0.071 0.652 (multiplicity 96)

Results
Formation energy without anion corrections: 10 meV per atom

---

## CaCu2Te (PBE)

Data for a relaxed CaCu2Te crystal.

Lattice parameters (Å, degrees): 4.2426 4.2426 16.7908 90.00 90.00 120.00
Space group R3m (No. 160, hexagonal axes)
Symmetry-distinct sites (fractional):
Ca: 0.0000 0.0000 0.0000 (multiplicity 3)
Cu: 0.0000 0.0000 0.4578 (multiplicity 3)
Cu: 0.0000 0.0000 0.7795 (multiplicity 3)
Te: 0.0000 0.0000 0.2039 (multiplicity 3)

Results
Formation energy without anion corrections: -343 meV per atom

---

## BaVGe2S8 (PBE)

Data for a relaxed BaVGe2S8 crystal.

Lattice parameters (Å, degrees): 6.0361 6.0361 8.6466 90.00 90.00 120.00
Space group P-3 (No. 147)
Symmetry-distinct sites (fractional):
Ba: 0.0000 0.0000 0.0000 (multiplicity 1)
V: 0.0000 0.0000 0.5000 (multiplicity 1)
Ge: 0.3333 0.6667 0.7242 (multiplicity 2)
S: 0.0260 0.6994 0.3407 (multiplicity 6)
S: 0.3333 0.6667 0.9791 (multiplicity 2)

Results
Formation energy without anion corrections: -564 meV per atom

---

## Mg3ScO4 (PBE)

Data for a relaxed Mg3ScO4 crystal.

Lattice parameters (Å, degrees): 6.270 8.705 3.023 90.00 90.00 90.00
Space group Cmmm (No. 65)
Symmetry-distinct sites (fractional):
Mg: 0.000 0.000 0.000 (multiplicity 2)
Mg: 0.250 0.250 0.500 (multiplicity 4)
Sc: 0.000 0.500 0.000 (multiplicity 2)
O: 0.000 0.249 0.000 (multiplicity 4)
O: 0.232 0.000 0.500 (multiplicity 4)

Results
Formation energy without anion corrections: -2628 meV per atom

---

## NiPb (PBE)

Data for a relaxed NiPb crystal.

Lattice parameters (Å, degrees): 4.0858 4.0858 11.8472 90.00 90.00 120.00
Space group P6_3/mmc (No. 194)
Symmetry-distinct sites (fractional):
Ni: 0.0000 0.0000 0.2500 (multiplicity 2)
Ni: 0.3333 0.6667 0.2500 (multiplicity 2)
Pb: 0.3333 0.6667 0.6102 (multiplicity 4)

Results
ΔE_f: 0.4 eV/f.u.

---

## Pm3Er4Tl2 (PBE)

Data for a relaxed Pm3Er4Tl2 crystal.

Lattice parameters (Å, degrees): 16.626 5.394 6.600 90.00 111.68 90.00
Space group C2/m (No. 12)
Symmetry-distinct sites (fractional):
Pm: 0.000 0.000 0.000 (multiplicity 2)
Pm: 0.140 0.000 0.697 (multiplicity 4)
Er: 0.074 0.500 0.348 (multiplicity 4)
Er: 0.217 0.000 0.283 (multiplicity 4)
Tl: 0.135 0.500 0.952 (multiplicity 4)

Results
ΔE_f: -0.9 eV/f.u.

---

## Pm7IrS5 (PBE)

Data for a relaxed Pm7IrS5 crystal.

Lattice parameters (Å, degrees): 3.967 13.323 24.250 90.00 90.00 90.00
Space group Cmc2_1 (No. 36)
Symmetry-distinct sites (fractional):
Pm: 0.000 0.041 0.000 (multiplicity 4)
Pm: 0.000 0.138 0.714 (multiplicity 4)
Pm: 0.000 0.139 0.286 (multiplicity 4)
Pm: 0.000 0.303 0.929 (multiplicity 4)
Pm: 0.000 0.304 0.071 (multiplicity 4)
Pm: 0.000 0.411 0.642 (multiplicity 4)
Pm: 0.000 0.412 0.358 (multiplicity 4)
Ir: 0.000 0.305 0.500 (multiplicity 4)
S: 0.000 0.050 0.608 (multiplicity 4)
S: 0.000 0.051 0.392 (multiplicity 4)
S: 0.000 0.225 0.179 (multiplicity 4)
S: 0.000 0.225 0.821 (multiplicity 4)
S: 0.000 0.500 0.250 (multiplicity 4)

Results
Formation energy without anion corrections: -1673 meV per atom

---

## AcSe3O9 (PBE)

Data for a relaxed AcSe3O9 crystal.

Lattice parameters (Å, degrees): 8.408 13.173 7.929 90.00 90.00 90.00
Space group C222_1 (No. 20)
Symmetry-distinct sites (fractional):
Ac: 0.143 0.000 0.000 (multiplicity 4)
Se: 0.018 0.295 0.014 (multiplicity 8)
Se: 0.222 0.500 0.000 (multiplicity 4)
O: 0.000 0.306 0.250 (multiplicity 4)
O: 0.027 0.176 0.942 (multiplicity 8)
O: 0.119 0.373 0.574 (multiplicity 8)
O: 0.148 0.002 0.666 (multiplicity 8)
O: 0.204 0.341 0.967 (multiplicity 8)

Results
Formation energy without anion corrections: -1134 meV per atom

---

## Mn2IrRuI (PBE)

Data for a relaxed Mn2IrRuI crystal.

Lattice parameters (Å, degrees): 4.699 4.699 4.885 90.00 90.00 90.00
Space group P4/mmm (No. 123)
Symmetry-distinct sites (fractional):
Mn: 0.000 0.500 0.000 (multiplicity 2)
Ir: 0.000 0.000 0.500 (multiplicity 1)
Ru: 0.500 0.500 0.000 (multiplicity 1)
I: 0.500 0.500 0.500 (multiplicity 1)

Results
Formation energy without anion corrections: 1538 meV per atom

---

## ZnCd2Ru (PBE)

Data for a relaxed ZnCd2Ru crystal.

Lattice parameters (Å, degrees): 2.8974 2.8974 29.6854 90.00 90.00 120.00
Space group R3m (No. 160, hexagonal axes)
Symmetry-distinct sites (fractional):
Zn: 0.0000 0.0000 0.0000 (multiplicity 3)
Cd: 0.0000 0.0000 0.5197 (multiplicity 3)
Cd: 0.0000 0.0000 0.7558 (multiplicity 3)
Ru: 0.0000 0.0000 0.2658 (multiplicity 3)

Results
ΔE_f: 0.8 eV/f.u.

---

## NdTlGa4 (PBE)

Data for a relaxed NdTlGa4 crystal.

Lattice parameters (Å, degrees): 8.072 8.072 8.072 90.00 90.00 90.00
Space group F-43m (No. 216)
Symmetry-distinct sites (fractional):
Nd: 0.000 0.000 0.000 (multiplicity 4)
Tl: 0.250 0.250 0.750 (multiplicity 4)
Ga: 0.125 0.125 0.375 (multiplicity 16)

Results
ΔE_f: -1.3 eV/f.u.

---

Number 1: D(E_F) 23.4 states/eV/f.u.. Number 2: D(E_F) 0.6 states/eV/f.u.. Number 3: D(E_F) 9.2 states/eV/f.u.. Number 4: D(E_F) 1.8 states/eV/f.u.. Number 5: D(E_F) 2.1 states/eV/f.u.. Number 6: D(E_F) 13.5 states/eV/f.u.. Number 7: D(E_F) 8.0 states/eV/f.u.. Number 8: D(E_F) 3.0 states/eV/f.u.. Number 9: D(E_F) 6.1 states/eV/f.u.. Number 10: D(E_F) 2.0 states/eV/f.u.. Number 11: D(E_F) 5.5 states/eV/f.u..